1.
A plane-wave DFT calculation with GGA-PBE was carried out for a relaxed structure of OsPbSe2.

Results
raw formation energy: 0.115 eV per atom
total DFT energy (no corrections): -5.362 eV per atom

```
OsPbSe2
1.0
-3.8204 3.8204 3.3026
3.8204 -3.8204 3.3026
3.8204 3.8204 -3.3026
Os Pb Se
2 2 4
Direct
0.0000 0.0000 0.0000 Os
0.7500 0.2500 0.5000 Os
0.2500 0.7500 0.5000 Pb
0.5000 0.5000 0.0000 Pb
0.0303 0.6250 0.9053 Se
0.3750 0.2803 0.4053 Se
0.7197 0.1250 0.0947 Se
0.8750 0.9697 0.5947 Se
```

2.
A plane-wave DFT calculation with GGA-PBE was carried out for a relaxed structure of Tb2TmSi6.

Results
raw formation energy: -0.520 eV per atom
total DFT energy (no corrections): -5.661 eV per atom

```
Tb2TmSi6
1.0
7.0875 0.0000 0.0000
-3.5438 6.1380 0.0000
0.0000 0.0000 3.9320
Tb Tm Si
2 1 6
Direct
0.3333 0.6667 0.0000 Tb
0.6667 0.3333 0.0000 Tb
0.0000 0.0000 0.0000 Tm
0.0000 0.3322 0.5000 Si
0.0000 0.6678 0.5000 Si
0.3322 0.0000 0.5000 Si
0.3322 0.3322 0.5000 Si
0.6678 0.0000 0.5000 Si
0.6678 0.6678 0.5000 Si
```

3.
A plane-wave DFT calculation with GGA-PBE was carried out for a relaxed structure of BaAcGaRh.

Results
total DFT energy (no corrections): -4.618 eV per atom
formation enthalpy at 0 K: -516 meV per atom

```
BaAcGaRh
1.0
3.8455 -2.2226 0.0000
3.8455 2.2226 0.0000
-2.5795 0.0000 8.2855
Ba Ac Ga Rh
1 1 1 1
Direct
0.0000 0.0000 0.0000 Ba
0.1699 0.1699 0.5062 Ac
0.4217 0.4217 0.2628 Ga
0.7680 0.7680 0.3010 Rh
```

4.
A plane-wave DFT calculation with GGA-PBE was carried out for a relaxed structure of NbCo6Ge.

Results
total DFT energy (no corrections): -7.260 eV per atom
formation enthalpy at 0 K: -94 meV per atom

```
NbCo6Ge
1.0
3.5879 -5.1380 0.0000
3.5879 5.1380 0.0000
0.0000 0.0000 10.2335
Nb Co Ge
4 24 4
Direct
0.0000 0.0000 0.2492 Nb
0.0000 0.0000 0.7508 Nb
0.2410 0.7590 0.5000 Nb
0.7590 0.2410 0.5000 Nb
0.0000 0.0000 0.0000 Co
0.0000 0.0000 0.5000 Co
0.1319 0.3841 0.1224 Co
0.1319 0.3841 0.8776 Co
0.1334 0.3805 0.3725 Co
0.1334 0.3805 0.6275 Co
0.2513 0.7487 0.2456 Co
0.2513 0.7487 0.7544 Co
0.3805 0.1334 0.3725 Co
0.3805 0.1334 0.6275 Co
0.3841 0.1319 0.1224 Co
0.3841 0.1319 0.8776 Co
0.5000 0.5000 0.0000 Co
0.5000 0.5000 0.5000 Co
0.6159 0.8681 0.1224 Co
0.6159 0.8681 0.8776 Co
0.6195 0.8666 0.3725 Co
0.6195 0.8666 0.6275 Co
0.7487 0.2513 0.2456 Co
0.7487 0.2513 0.7544 Co
0.8666 0.6195 0.3725 Co
0.8666 0.6195 0.6275 Co
0.8681 0.6159 0.1224 Co
0.8681 0.6159 0.8776 Co
0.2375 0.7625 0.0000 Ge
0.5000 0.5000 0.2489 Ge
0.5000 0.5000 0.7511 Ge
0.7625 0.2375 0.0000 Ge
```

5.
A plane-wave DFT calculation with GGA-PBE was carried out for a relaxed structure of BaSi2Au6.

Results
raw formation energy: -0.278 eV per atom
total DFT energy (no corrections): -3.881 eV per atom

```
BaSi2Au6
1.0
4.6937 0.0000 0.0000
0.0000 4.6937 0.0000
0.0000 0.0000 9.8540
Ba Si Au
1 2 6
Direct
0.0000 0.0000 0.0000 Ba
0.5000 0.5000 0.2419 Si
0.5000 0.5000 0.7581 Si
0.0000 0.5000 0.3214 Au
0.0000 0.5000 0.6786 Au
0.5000 0.0000 0.3214 Au
0.5000 0.0000 0.6786 Au
0.5000 0.5000 0.0000 Au
0.5000 0.5000 0.5000 Au
```

6.
A plane-wave DFT calculation with GGA-PBE was carried out for a relaxed structure of TlCrTe2.

Results
raw formation energy: -0.059 eV per atom
total DFT energy (no corrections): -4.627 eV per atom

```
TlCrTe2
1.0
-1.8361 1.8950 8.3806
1.8361 -1.8950 8.3806
1.8361 1.8950 -8.3806
Tl Cr Te
1 1 2
Direct
0.0000 0.0000 0.0000 Tl
0.2513 0.7513 0.5000 Cr
0.3729 0.3729 0.0000 Te
0.6846 0.1846 0.5000 Te
```

7.
A plane-wave DFT calculation with GGA-PBE was carried out for a relaxed structure of CaTm3Bi3.

Results
total DFT energy (no corrections): -4.484 eV per atom
formation enthalpy at 0 K: -618 meV per atom

```
CaTm3Bi3
1.0
4.5507 2.6274 6.2740
-4.5507 2.6274 6.2740
0.0000 -5.2547 6.2740
Ca Tm Bi
2 6 6
Direct
0.1656 0.1656 0.1656 Ca
0.8344 0.8344 0.8344 Ca
0.1737 0.4162 0.6622 Tm
0.3378 0.8263 0.5838 Tm
0.4162 0.6622 0.1737 Tm
0.5838 0.3378 0.8263 Tm
0.6622 0.1737 0.4162 Tm
0.8263 0.5838 0.3378 Tm
0.0230 0.8028 0.4176 Bi
0.1972 0.5824 0.9770 Bi
0.4176 0.0230 0.8028 Bi
0.5824 0.9770 0.1972 Bi
0.8028 0.4176 0.0230 Bi
0.9770 0.1972 0.5824 Bi
```

8.
A plane-wave DFT calculation with GGA-PBE was carried out for a relaxed structure of NaAs2Br8.

Results
raw formation energy: -0.517 eV per atom
total DFT energy (no corrections): -2.699 eV per atom

```
NaAs2Br8
1.0
6.6132 -5.4545 0.0000
6.6132 5.4545 0.0000
-1.3400 0.0000 6.7389
Na As Br
1 2 8
Direct
0.0000 0.0000 0.0000 Na
0.2127 0.2127 0.6835 As
0.7873 0.7873 0.3165 As
0.0615 0.7103 0.2250 Br
0.2011 0.2011 0.3167 Br
0.2898 0.9385 0.7750 Br
0.3940 0.3940 0.8770 Br
0.6060 0.6060 0.1230 Br
0.7103 0.0615 0.2250 Br
0.7989 0.7989 0.6833 Br
0.9385 0.2898 0.7750 Br
```

9.
A plane-wave DFT calculation with GGA-PBE was carried out for a relaxed structure of RbLaPd.

Results
total DFT energy (no corrections): -3.972 eV per atom
formation enthalpy at 0 K: -276 meV per atom

```
RbLaPd
1.0
5.2892 0.0000 0.0000
0.0000 5.2892 0.0000
0.0000 0.0000 8.4327
Rb La Pd
2 2 2
Direct
0.2500 0.2500 0.1047 Rb
0.7500 0.7500 0.8953 Rb
0.2500 0.7500 0.5000 La
0.7500 0.2500 0.5000 La
0.2500 0.2500 0.6636 Pd
0.7500 0.7500 0.3364 Pd
```

10.
A plane-wave DFT calculation with GGA-PBE was carried out for a relaxed structure of TbEr2Tm2In.

Results
total DFT energy (no corrections): -4.265 eV per atom
formation enthalpy at 0 K: -26 meV per atom

```
TbEr2Tm2In
1.0
6.5420 0.0000 0.0000
0.0000 9.9482 0.0000
0.0000 0.0000 5.4173
Tb Er Tm In
2 4 4 2
Direct
0.0000 0.0000 0.0000 Tb
0.5000 0.5000 0.5000 Tb
0.2151 0.1920 0.5000 Er
0.2849 0.6920 0.0000 Er
0.7151 0.3080 0.0000 Er
0.7849 0.8080 0.5000 Er
0.2068 0.3661 0.0000 Tm
0.2932 0.8661 0.5000 Tm
0.7068 0.1339 0.5000 Tm
0.7932 0.6339 0.0000 Tm
0.0000 0.5000 0.5000 In
0.5000 0.0000 0.0000 In
```

11.
A plane-wave DFT calculation with GGA-PBE was carried out for a relaxed structure of ThPaTcNi.

Results
total DFT energy (no corrections): -8.384 eV per atom
formation enthalpy at 0 K: -119 meV per atom
energy relative to the lowest polymorph listed for this composition: 0.193 eV/atom

```
ThPaTcNi
1.0
0.0000 3.4646 3.4646
3.4646 0.0000 3.4646
3.4646 3.4646 0.0000
Th Pa Tc Ni
1 1 1 1
Direct
0.0000 0.0000 0.0000 Th
0.5000 0.5000 0.5000 Pa
0.7500 0.7500 0.7500 Tc
0.2500 0.2500 0.2500 Ni
```

12.
A plane-wave DFT calculation with GGA-PBE was carried out for a relaxed structure of Y3GaSi2.

Results
raw formation energy: -0.712 eV per atom
total DFT energy (no corrections): -6.256 eV per atom

```
Y3GaSi2
1.0
11.4962 0.0000 0.0000
0.0000 4.1239 0.0000
0.0000 0.0000 11.5523
Y Ga Si
12 4 8
Direct
0.0567 0.2500 0.1199 Y
0.1242 0.7500 0.5616 Y
0.1999 0.2500 0.8017 Y
0.3001 0.7500 0.3017 Y
0.3758 0.2500 0.0616 Y
0.4433 0.7500 0.6199 Y
0.5567 0.2500 0.3801 Y
0.6242 0.7500 0.9384 Y
0.6999 0.2500 0.6983 Y
0.8001 0.7500 0.1983 Y
0.8758 0.2500 0.4384 Y
0.9433 0.7500 0.8801 Y
0.1346 0.2500 0.3667 Ga
0.3654 0.7500 0.8667 Ga
0.6346 0.2500 0.1333 Ga
0.8654 0.7500 0.6333 Ga
0.0203 0.7500 0.3145 Si
0.1875 0.7500 0.9969 Si
0.3125 0.2500 0.4969 Si
0.4797 0.2500 0.8145 Si
0.5203 0.7500 0.1855 Si
0.6875 0.7500 0.5031 Si
0.8125 0.2500 0.0031 Si
0.9797 0.2500 0.6855 Si
```

Q: total DFT energy (no corrections) of number 9 (RbLaPd)?
A: -3.972 eV per atom

Q: Which value of total DFT energy (no corrections) does entry 1 give?
A: -5.362 eV per atom

Repeat the eighth record exactly.
A plane-wave DFT calculation with GGA-PBE was carried out for a relaxed structure of NaAs2Br8.

Results
raw formation energy: -0.517 eV per atom
total DFT energy (no corrections): -2.699 eV per atom

```
NaAs2Br8
1.0
6.6132 -5.4545 0.0000
6.6132 5.4545 0.0000
-1.3400 0.0000 6.7389
Na As Br
1 2 8
Direct
0.0000 0.0000 0.0000 Na
0.2127 0.2127 0.6835 As
0.7873 0.7873 0.3165 As
0.0615 0.7103 0.2250 Br
0.2011 0.2011 0.3167 Br
0.2898 0.9385 0.7750 Br
0.3940 0.3940 0.8770 Br
0.6060 0.6060 0.1230 Br
0.7103 0.0615 0.2250 Br
0.7989 0.7989 0.6833 Br
0.9385 0.2898 0.7750 Br
```